# 1
Here is a relaxed structure of AgWAu from Alexandria via LeMat-Bulk. Energies are from PBE.

Computed properties:
Symmetry ... Fmm2 (42)
DFT total energy ... -5.91 eV per atom
ΔE to the lowest computed polymorph ... 13 kJ/mol of formula units
E_form ... 0.447 eV per atom

a b c (Å): 7.334 7.208 2.748
angles (deg): 81.69 76.54 21.76
Fractional positions:
Au1 0.330 0.330 0.670
Ag1 0.002 0.002 0.998
W1 0.668 0.668 0.332

***

# 2
Here is a relaxed structure of CeNdZnHg from Alexandria via LeMat-Bulk. Energies are from PBE.

Computed properties:
Symmetry ... F-43m (216)
DFT total energy ... -3.35 eV per atom
ΔE to the lowest computed polymorph ... 9 kJ/mol of formula units
E_form ... -0.281 eV per atom

a b c (Å): 5.322 5.322 5.322
angles (deg): 60.00 60.00 60.00
Each line ends with the local moment (μB).
Fractional positions:
Zn1 0.000 0.000 0.000  0.02
Nd1 0.750 0.750 0.750  0.23
Hg1 0.500 0.500 0.500  0.03
Ce1 0.250 0.250 0.250  0.98

***

# 3
Here is a relaxed structure of CsBeAs3 from Alexandria via LeMat-Bulk. Energies are from PBE.

Computed properties:
Symmetry ... Pm-3m (221)
DFT total energy ... -1.46 eV per atom
ΔE to the lowest computed polymorph ... 914 kJ/mol of formula units
E_form ... 2.248 eV per atom

a b c (Å): 5.749 5.749 5.749
angles (deg): 90.00 90.00 90.00
Fractional positions:
Cs1 0.000 0.000 0.000
Be1 0.500 0.500 0.500
As1 0.000 0.500 0.000
As2 0.000 0.000 0.500
As3 0.500 0.000 0.000

***

# 4
Here is a relaxed structure of Mn2InCo from Alexandria via LeMat-Bulk. Energies are from PBE.

Computed properties:
Symmetry ... P4/mmm (123)
DFT total energy ... -6.86 eV per atom
E_form ... 0.190 eV per atom

a b c (Å): 4.051 4.050 3.597
angles (deg): 90.00 90.00 90.00
Each line ends with the local moment (μB).
Fractional positions:
Co1 0.500 0.000 0.500  1.60
In1 0.000 0.500 0.500  -0.14
Mn1 0.000 0.000 0.000  3.24
Mn2 0.500 0.500 0.000  3.24

***

- The lowest DFT total energy belongs to which entry?
  Mn2InCo

***

- Which value of E_form does entry 4 give?
  0.190 eV per atom